The following is a GGA+U calculation of crystalline KNaCoO2 at its relaxed geometry, from Alexandria.

Calculated values
- Size of the total moment: 0.310 μB/atom
- E_tot: -43.87 eV/cell
- Symmetry: Cmme

Geometry as POSCAR:
```
KNaCoO2
1.0
-2.594 -0.347 5.029
-3.384 -1.406 -5.038
1.913 -6.526 0.536
K Na O Co
2 2 4 2
direct
0.250 0.500 0.174 K
0.750 0.500 0.826 K
0.000 0.000 0.500 Na
0.500 0.000 0.500 Na
0.505 0.010 0.819 O
0.995 0.990 0.819 O
0.005 0.010 0.181 O
0.495 0.990 0.181 O
0.750 0.000 0.000 Co
0.250 0.000 0.000 Co
```